# Na5Mn2P2C2O14

An optimized crystal structure of Na5Mn2P2C2O14 (PBE+U, the Alexandria database).

Cell: 5.2454 11.2439 11.3118 Å, 72.89 89.68 89.80°
Fractional coordinates of all 50 atoms:
Na 0.2290 0.1093 0.1265
Na 0.2444 0.3678 0.8768
Na 0.2447 0.8808 0.3684
Na 0.2470 0.5874 0.3330
Na 0.2509 0.6269 0.6270
Na 0.7491 0.3731 0.3730
Na 0.7530 0.4126 0.6670
Na 0.7553 0.1192 0.6316
Na 0.7556 0.6322 0.1232
Na 0.7710 0.8907 0.8735
Mn 0.2187 0.1919 0.4458
Mn 0.2259 0.6990 0.9420
Mn 0.7741 0.3010 0.0580
Mn 0.7813 0.8081 0.5542
P 0.2931 0.9131 0.6667
P 0.3024 0.4187 0.1619
P 0.6976 0.5813 0.8381
P 0.7069 0.0869 0.3333
C 0.2613 0.3454 0.5934
C 0.2837 0.8360 0.0840
C 0.7163 0.1640 0.9160
C 0.7387 0.6546 0.4066
O 0.0374 0.3191 0.5590
O 0.0689 0.7958 0.0450
O 0.1659 0.3455 0.0856
O 0.1832 0.8348 0.5860
O 0.1969 0.8585 0.8030
O 0.2034 0.0495 0.6191
O 0.2290 0.3777 0.3005
O 0.2448 0.5614 0.1136
O 0.2744 0.8975 0.1602
O 0.2834 0.4148 0.6666
O 0.3990 0.5985 0.8494
O 0.4090 0.0943 0.3353
O 0.4634 0.3030 0.5518
O 0.4888 0.8020 0.0381
O 0.5112 0.1980 0.9619
O 0.5366 0.6970 0.4482
O 0.5910 0.9057 0.6647
O 0.6010 0.4015 0.1506
O 0.7166 0.5852 0.3334
O 0.7256 0.1025 0.8398
O 0.7552 0.4386 0.8864
O 0.7710 0.6223 0.6995
O 0.7966 0.9505 0.3809
O 0.8031 0.1415 0.1970
O 0.8168 0.1652 0.4140
O 0.8341 0.6545 0.9144
O 0.9311 0.2042 0.9550
O 0.9626 0.6809 0.4410

Results
* symmetry: P-1, No. 2
* excess energy over the best structure of this formula in the dataset: 0.02 eV per formula unit
* uncorrected energy: -6.758 eV per atom
* magnetic moment: 9.000 μB/f.u.